Entry 1:
Compound: Th2Ga3Ni12Pd
Source: the Alexandria database
Functional: PBE
Structure: relaxed

Results
Calculated volume = 259.41 Å³/cell
Magnetic moment = 0.000 Bohr magnetons per cell
DOS(E_F) = 0.51 states/eV per atom

CIF file:
```
data_Th2Ga3Ni12Pd
_chemical_formula_sum 'Th2 Ga3 Ni12 Pd1'
_cell_length_a 6.412
_cell_length_b 6.412
_cell_length_c 6.412
_cell_angle_alpha 83.86
_cell_angle_beta 83.86
_cell_angle_gamma 83.86
_space_group_name_H-M_alt 'P 1'
_space_group_IT_number 1
loop_
_space_group_symop_operation_xyz
'x,y,z'
loop_
_atom_site_label
_atom_site_type_symbol
_atom_site_fract_x
_atom_site_fract_y
_atom_site_fract_z
Ga1 Ga 0.000 0.000 0.500
Th1 Th 0.663 0.663 0.663
Pd1 Pd 0.000 0.000 0.000
Ni1 Ni 0.199 0.199 0.705
Ni2 Ni 0.605 0.108 0.605
Ni3 Ni 0.801 0.295 0.801
Ga2 Ga 0.000 0.500 0.000
Th2 Th 0.337 0.337 0.337
Ni4 Ni 0.108 0.605 0.605
Ni5 Ni 0.295 0.801 0.801
Ni6 Ni 0.605 0.605 0.108
Ni7 Ni 0.801 0.801 0.295
Ga3 Ga 0.500 0.000 0.000
Ni8 Ni 0.199 0.705 0.199
Ni9 Ni 0.705 0.199 0.199
Ni10 Ni 0.892 0.395 0.395
Ni11 Ni 0.395 0.395 0.892
Ni12 Ni 0.395 0.892 0.395
```

Entry 2:
Compound: ThGa2Ni5Pd
Source: the Alexandria database
Functional: PBE
Structure: relaxed

Results
Calculated volume = 134.50 Å³/cell
Magnetic moment = 0.000 Bohr magnetons per cell
DOS(E_F) = 0.41 states/eV per atom

CIF file:
```
data_ThGa2Ni5Pd
_chemical_formula_sum 'Th1 Ga2 Ni5 Pd1'
_cell_length_a 3.783
_cell_length_b 3.783
_cell_length_c 9.398
_cell_angle_alpha 90.00
_cell_angle_beta 90.00
_cell_angle_gamma 90.00
_space_group_name_H-M_alt 'P 1'
_space_group_IT_number 1
loop_
_space_group_symop_operation_xyz
'x,y,z'
loop_
_atom_site_label
_atom_site_type_symbol
_atom_site_fract_x
_atom_site_fract_y
_atom_site_fract_z
Ni1 Ni 0.500 0.000 0.284
Ga1 Ga 0.500 0.500 0.130
Ga2 Ga 0.500 0.500 0.870
Th1 Th 0.000 0.000 0.500
Ni2 Ni 0.000 0.500 0.284
Ni3 Ni 0.500 0.500 0.500
Ni4 Ni 0.500 0.000 0.716
Ni5 Ni 0.000 0.500 0.716
Pd1 Pd 0.000 0.000 0.000
```

Entry 3:
Compound: TiGa2NiPd
Source: the Alexandria database
Functional: PBE
Structure: relaxed

Results
Calculated volume = 103.65 Å³/cell
Magnetic moment = 0.000 Bohr magnetons per cell
DOS(E_F) = 1.28 states/eV per atom

CIF file:
```
data_TiGa2NiPd
_chemical_formula_sum 'Ti1 Ga2 Ni1 Pd1'
_cell_length_a 4.631
_cell_length_b 4.832
_cell_length_c 4.631
_cell_angle_alpha 90.00
_cell_angle_beta 90.00
_cell_angle_gamma 90.00
_space_group_name_H-M_alt 'P 1'
_space_group_IT_number 1
loop_
_space_group_symop_operation_xyz
'x,y,z'
loop_
_atom_site_label
_atom_site_type_symbol
_atom_site_fract_x
_atom_site_fract_y
_atom_site_fract_z
Ga1 Ga 0.500 0.000 0.000
Ga2 Ga 0.000 0.000 0.500
Ni1 Ni 0.500 0.500 0.500
Pd1 Pd 0.000 0.000 0.000
Ti1 Ti 0.000 0.500 0.000
```

Entry 4:
Compound: Tm2Ga4NiPd3
Source: the Alexandria database
Functional: PBE
Structure: relaxed

Results
Calculated volume = 178.53 Å³/cell
Magnetic moment = 0.000 Bohr magnetons per cell
DOS(E_F) = 0.59 states/eV per atom

CIF file:
```
data_Tm2Ga4NiPd3
_chemical_formula_sum 'Tm2 Ga4 Ni1 Pd3'
_cell_length_a 3.947
_cell_length_b 3.947
_cell_length_c 11.460
_cell_angle_alpha 90.00
_cell_angle_beta 90.00
_cell_angle_gamma 90.00
_space_group_name_H-M_alt 'P 1'
_space_group_IT_number 1
loop_
_space_group_symop_operation_xyz
'x,y,z'
loop_
_atom_site_label
_atom_site_type_symbol
_atom_site_fract_x
_atom_site_fract_y
_atom_site_fract_z
Ga1 Ga 0.000 0.500 0.369
Tm1 Tm 0.000 0.500 0.745
Ga2 Ga 0.500 0.000 0.631
Tm2 Tm 0.500 0.000 0.255
Pd1 Pd 0.000 0.500 0.151
Ga3 Ga 0.000 0.000 0.000
Ga4 Ga 0.500 0.500 0.000
Pd2 Pd 0.000 0.000 0.500
Ni1 Ni 0.500 0.500 0.500
Pd3 Pd 0.500 0.000 0.849
```

Number 1: total energy -5.61 eV per atom. Number 2: total energy -5.51 eV per atom. Number 3: total energy -4.46 eV per atom. Number 4: total energy -4.95 eV per atom.